Record 1
The following is a PBE calculation of a geometry-optimized ScBiC structure, from the Alexandria database.

Calculated values
The formation energy comes out at 0.08 eV/atom.

Cell: 3.8895 4.2711 15.9948 Å, 90.00 90.00 90.00°
Space group Immm (No. 71)
Unique sites:
1 Sc 0.0000 0.0000 0.1052 (multiplicity 4)
2 Bi 0.0000 0.0000 0.3126 (multiplicity 4)
3 C 0.0000 0.3519 0.0000 (multiplicity 4)



Record 2
The following is a PBE calculation of a geometry-optimized Sc5Bi2C structure, from the Alexandria database.

Calculated values
The formation energy comes out at -0.56 eV/atom. Its energy above the most stable polymorph in this dataset is 0.0 kJ per mole of atoms.

Cell: 8.2207 6.3429 13.5539 Å, 90.00 90.00 90.00°
Space group Pnma (No. 62)
Unique sites:
1 Sc 0.0000 0.0000 0.0000 (multiplicity 4)
2 Sc 0.0551 0.2500 0.2008 (multiplicity 4)
3 Sc 0.1365 0.5084 0.5999 (multiplicity 8)
4 Sc 0.2259 0.7500 0.3950 (multiplicity 4)
5 Bi 0.0617 0.7500 0.1987 (multiplicity 4)
6 Bi 0.2071 0.2500 0.4060 (multiplicity 4)
7 C 0.1815 0.2500 0.0514 (multiplicity 4)



Record 3
The following is a PBE calculation of a geometry-optimized Sc5Bi5C structure, from the Alexandria database.

Calculated values
The formation energy comes out at -0.40 eV/atom.

Cell: 12.3924 5.7833 8.6366 Å, 90.00 115.11 90.00°
Space group C2/m (No. 12)
Unique sites:
1 Sc 0.0000 0.0000 0.0000 (multiplicity 2)
2 Sc 0.1428 0.5000 0.2675 (multiplicity 4)
3 Sc 0.1425 0.5000 0.8996 (multiplicity 4)
4 Bi 0.0000 0.5000 0.5000 (multiplicity 2)
5 Bi 0.1216 0.0000 0.7652 (multiplicity 4)
6 Bi 0.2077 0.0000 0.3378 (multiplicity 4)
7 C 0.0000 0.5000 0.0000 (multiplicity 2)



Record 4
The following is a PBE calculation of a geometry-optimized Sc3Bi2C structure, from the Alexandria database.

Calculated values
The formation energy comes out at -0.52 eV/atom.

Cell: 13.7763 6.1046 6.7198 Å, 90.00 104.01 90.00°
Space group C2/c (No. 15)
Unique sites:
1 Sc 0.0000 0.0947 0.2500 (multiplicity 4)
2 Sc 0.1128 0.4965 0.5571 (multiplicity 8)
3 Bi 0.1819 0.0056 0.0904 (multiplicity 8)
4 C 0.0000 0.4509 0.2500 (multiplicity 4)



Record 5
The following is a PBE calculation of a geometry-optimized Sc6Bi3C2 structure, from the Alexandria database.

Calculated values
The formation energy comes out at -0.61 eV/atom.

Cell: 4.4780 4.4780 24.2463 Å, 90.00 90.00 90.00°
Space group I4/mmm (No. 139)
Unique sites:
1 Sc 0.0000 0.0000 0.1872 (multiplicity 4)
2 Sc 0.0000 0.5000 0.0865 (multiplicity 8)
3 Bi 0.0000 0.0000 0.3160 (multiplicity 4)
4 Bi 0.0000 0.0000 0.5000 (multiplicity 2)
5 C 0.0000 0.0000 0.1002 (multiplicity 4)



Record 6
The following is a PBE calculation of a geometry-optimized ScBi3C structure, from the Alexandria database.

Calculated values
The formation energy comes out at 0.75 eV/atom. Its energy above the most stable polymorph in this dataset is 0.0 kJ per mole of atoms.

Cell: 5.0017 5.0017 5.0017 Å, 90.00 90.00 90.00°
Space group Pm-3m (No. 221)
Unique sites:
1 Sc 0.0000 0.0000 0.0000 (multiplicity 1)
2 Bi 0.0000 0.5000 0.5000 (multiplicity 3)
3 C 0.5000 0.5000 0.5000 (multiplicity 1)



Record 7
The following is a PBE calculation of a geometry-optimized Sc6Bi2C structure, from the Alexandria database.

Calculated values
The formation energy comes out at -0.49 eV/atom. Its energy above the most stable polymorph in this dataset is 0.0 kJ per mole of atoms.

Cell: 6.4775 6.4775 9.2068 Å, 90.00 90.00 90.00°
Space group I4/mmm (No. 139)
Unique sites:
1 Sc 0.0000 0.0000 0.2440 (multiplicity 4)
2 Sc 0.2457 0.2457 0.0000 (multiplicity 8)
3 Bi 0.0000 0.5000 0.2500 (multiplicity 4)
4 C 0.0000 0.0000 0.0000 (multiplicity 2)



Record 8
The following is a PBE calculation of a geometry-optimized Sc4Bi3C structure, from the Alexandria database.

Calculated values
The formation energy comes out at -0.34 eV/atom.

Cell: 9.1781 8.4816 5.8702 Å, 90.00 90.00 90.00°
Space group Pmn2_1 (No. 31)
Unique sites:
1 Sc 0.0000 0.0730 0.0000 (multiplicity 2)
2 Sc 0.0000 0.8211 0.5669 (multiplicity 2)
3 Sc 0.1965 0.6993 0.0071 (multiplicity 4)
4 Bi 0.0000 0.1629 0.4949 (multiplicity 2)
5 Bi 0.2214 0.3476 0.0029 (multiplicity 4)
6 C 0.0000 0.8250 0.9337 (multiplicity 2)



Record 9
The following is a PBE calculation of a geometry-optimized Sc8Bi2C3 structure, from the Alexandria database.

Calculated values
The formation energy comes out at -0.49 eV/atom.

Cell: 14.5501 6.7965 5.9342 Å, 90.00 105.95 90.00°
Space group C2/m (No. 12)
Unique sites:
1 Sc 0.0854 0.0000 0.3936 (multiplicity 4)
2 Sc 0.0848 0.2394 0.8834 (multiplicity 8)
3 Sc 0.0864 0.5000 0.4057 (multiplicity 4)
4 Bi 0.2450 0.5000 0.1794 (multiplicity 4)
5 C 0.0000 0.0000 0.0000 (multiplicity 2)
6 C 0.0000 0.2524 0.5000 (multiplicity 4)



Record 10
The following is a PBE calculation of a geometry-optimized Sc2Bi2C structure, from the Alexandria database.

Calculated values
The formation energy comes out at 0.82 eV/atom. Its energy above the most stable polymorph in this dataset is 16.1 kJ per mole of atoms.

Cell: 5.7736 5.7736 7.9581 Å, 90.00 90.00 90.00°
Space group I4/mmm (No. 139)
Unique sites:
1 Sc 0.0000 0.5000 0.2500 (multiplicity 4)
2 Bi 0.0000 0.0000 0.2059 (multiplicity 4)
3 C 0.0000 0.0000 0.5000 (multiplicity 2)



Record 11
The following is a PBE calculation of a geometry-optimized Sc12Bi6C structure, from the Alexandria database.

Calculated values
The formation energy comes out at -0.42 eV/atom.

Cell: 12.3028 12.3028 11.2141 Å, 90.00 90.00 120.00°
Space group R-3 (No. 148, hexagonal axes)
Unique sites:
1 Sc 0.0332 0.1795 0.3829 (multiplicity 18)
2 Sc 0.0586 0.1702 0.8801 (multiplicity 18)
3 Bi 0.0370 0.4214 0.3098 (multiplicity 18)
4 C 0.0000 0.0000 0.0000 (multiplicity 3)



Record 12
The following is a PBE calculation of a geometry-optimized ScBi3C structure, from the Alexandria database.

Calculated values
The formation energy comes out at 1.53 eV/atom. Its energy above the most stable polymorph in this dataset is 74.8 kJ per mole of atoms.

Cell: 5.5684 5.5684 5.5684 Å, 90.00 90.00 90.00°
Space group Pm-3m (No. 221)
Unique sites:
1 Sc 0.0000 0.0000 0.0000 (multiplicity 1)
2 Bi 0.0000 0.0000 0.5000 (multiplicity 3)
3 C 0.5000 0.5000 0.5000 (multiplicity 1)



Record 13
The following is a PBE calculation of a geometry-optimized Sc5Bi2C structure, from the Alexandria database.

Calculated values
The formation energy comes out at -0.17 eV/atom. Its energy above the most stable polymorph in this dataset is 37.7 kJ per mole of atoms.

Cell: 4.7031 15.2130 12.3069 Å, 90.00 90.00 90.00°
Space group Cmcm (No. 63)
Unique sites:
1 Sc 0.0000 0.0793 0.1290 (multiplicity 8)
2 Sc 0.0000 0.2737 0.0898 (multiplicity 8)
3 Sc 0.0000 0.2947 0.7500 (multiplicity 4)
4 Bi 0.0000 0.1183 0.6055 (multiplicity 8)
5 C 0.0000 0.1885 0.2500 (multiplicity 4)



Record 14
The following is a PBE calculation of a geometry-optimized Sc5Bi2C2 structure, from the Alexandria database.

Calculated values
The formation energy comes out at -0.43 eV/atom.

Cell: 12.3283 4.5942 7.2199 Å, 90.00 104.38 90.00°
Space group C2/m (No. 12)
Unique sites:
1 Sc 0.0000 0.0000 0.0000 (multiplicity 2)
2 Sc 0.1433 0.0000 0.6106 (multiplicity 4)
3 Sc 0.1666 0.5000 0.9427 (multiplicity 4)
4 Bi 0.0911 0.5000 0.3199 (multiplicity 4)
5 C 0.1584 0.0000 0.9033 (multiplicity 4)



Record 15
The following is a PBE calculation of a geometry-optimized Sc12Bi5C2 structure, from the Alexandria database.

Calculated values
The formation energy comes out at -0.39 eV/atom.

Cell: 16.1194 7.2007 8.7963 Å, 90.00 108.11 90.00°
Space group C2/m (No. 12)
Unique sites:
1 Sc 0.0030 0.0000 0.1622 (multiplicity 4)
2 Sc 0.0059 0.5000 0.1783 (multiplicity 4)
3 Sc 0.1367 0.2718 0.5504 (multiplicity 8)
4 Sc 0.1447 0.2364 0.0768 (multiplicity 8)
5 Bi 0.0000 0.0000 0.5000 (multiplicity 2)
6 Bi 0.1884 0.5000 0.8461 (multiplicity 4)
7 Bi 0.2126 0.5000 0.3484 (multiplicity 4)
8 C 0.0000 0.2593 0.0000 (multiplicity 4)



Record 16
The following is a PBE calculation of a geometry-optimized Sc6Bi2C structure, from the Alexandria database.

Calculated values
The formation energy comes out at -0.21 eV/atom. Its energy above the most stable polymorph in this dataset is 26.9 kJ per mole of atoms.

Cell: 6.0724 6.0724 12.8557 Å, 90.00 90.00 90.00°
Space group P4_2/mnm (No. 136)
Unique sites:
1 Sc 0.1843 0.1843 0.1198 (multiplicity 8)
2 Sc 0.2208 0.2208 0.5000 (multiplicity 4)
3 Bi 0.0000 0.0000 0.3151 (multiplicity 4)
4 C 0.0000 0.0000 0.0000 (multiplicity 2)



Record 17
The following is a PBE calculation of a geometry-optimized Sc2Bi2C structure, from the Alexandria database.

Calculated values
The formation energy comes out at 0.65 eV/atom. Its energy above the most stable polymorph in this dataset is 0.0 kJ per mole of atoms.

Cell: 7.3713 7.3713 4.2618 Å, 90.00 90.00 90.00°
Space group P4/mbm (No. 127)
Unique sites:
1 Sc 0.1482 0.3518 0.0000 (multiplicity 4)
2 Bi 0.1646 0.6646 0.5000 (multiplicity 4)
3 C 0.0000 0.0000 0.5000 (multiplicity 2)



Record 18
The following is a PBE calculation of a geometry-optimized ScBi2CSe structure, from the Alexandria database.

Calculated values
The formation energy without anion corrections comes out at 1294.2 meV per atom.

Cell: 5.6641 5.6641 4.9531 Å, 90.00 90.00 90.00°
Space group P4/mmm (No. 123)
Unique sites:
1 Sc 0.0000 0.0000 0.0000 (multiplicity 1)
2 Bi 0.0000 0.5000 0.0000 (multiplicity 2)
3 C 0.5000 0.5000 0.5000 (multiplicity 1)
4 Se 0.0000 0.0000 0.5000 (multiplicity 1)



Record 19
The following is a PBE calculation of a geometry-optimized Sc5Bi2CSe structure, from the Alexandria database.

Calculated values
The formation energy without anion corrections comes out at -809.9 meV per atom.

Cell: 4.3982 4.3982 10.3019 Å, 90.00 90.00 90.00°
Space group P4/mmm (No. 123)
Unique sites:
1 Sc 0.0000 0.0000 0.0000 (multiplicity 1)
2 Sc 0.0000 0.5000 0.5000 (multiplicity 2)
3 Sc 0.5000 0.5000 0.2672 (multiplicity 2)
4 Bi 0.0000 0.0000 0.2846 (multiplicity 2)
5 C 0.5000 0.5000 0.5000 (multiplicity 1)
6 Se 0.5000 0.5000 0.0000 (multiplicity 1)



Record 20
The following is a PBE calculation of a geometry-optimized Sc4SnBiC structure, from the Alexandria database.

Calculated values
The formation energy comes out at -0.73 eV/atom.

Cell: 6.3616 15.0433 6.3605 Å, 90.00 90.00 90.00°
Space group Cmcm (No. 63)
Unique sites:
1 Sc 0.0000 0.0968 0.2500 (multiplicity 4)
2 Sc 0.0000 0.3989 0.2500 (multiplicity 4)
3 Sc 0.2500 0.2500 0.0000 (multiplicity 8)
4 Sn 0.0000 0.1060 0.7500 (multiplicity 4)
5 Bi 0.0000 0.3982 0.7500 (multiplicity 4)
6 C 0.0000 0.2487 0.2500 (multiplicity 4)



Summary of uncorrected energy in eV for the cell shown
-76.796; -212.429; -129.473; -156.468; -149.642; -23.447; -118.822; -97.834; -184.897; -51.089; -349.254; -19.573; -199.940; -123.432; -242.430; -113.806; -52.754; -20.331; -59.417; -190.075
(order as listed above)
Summary of ρ in Mg/m³
6.648; 6.154; 7.595; 6.842; 6.289; 9.076; 6.015; 5.951; 4.789; 6.508; 6.118; 6.577; 4.939; 5.590; 5.505; 4.902; 7.456; 5.788; 6.114; 5.669
(order as listed above)